YBeRe4 (PBE, relaxed); E_form = 0.28 eV/atom; total magnetization = 0.0 μB per cell; SG = No. 216; calculated density = 13.451 Mg/m³
1.0
-2.545 -1.037 4.508
-2.669 3.830 2.466
-5.278 -0.097 0.090
Y Be Re
1 1 4
Cartesian
-7.868 2.022 5.298 Y
0.000 0.000 0.000 Be
-5.206 0.488 4.910 Re
-6.580 0.961 2.689 Re
-5.268 2.934 3.884 Re
-3.927 1.009 2.644 Re